Density functional theory data (PBE-GGA) for SrLaP4 after structural relaxation.

The total energy is -5.06 eV per atom. The calculation puts the magnetization at 0.00 Bohr magnetons per cell. The volume comes out at 484.6 Å³/cell. Its density of states at the Fermi level is 3.84 states/eV/f.u. The mass density comes out at 4.804 Mg/m³. The calculation puts the formation energy at -0.355 eV per atom.

The structure belongs to space group F-43m (No. 216); the cell edges are 7.854, 7.854 and 7.854 Å and the angles 90.00°, 90.00° and 90.00°. Symmetry generates all atoms from Sr at (0.000, 0.000, 0.000), La at (0.250, 0.250, 0.750) and P at (0.127, 0.127, 0.373).

Density functional theory data (PBE-GGA) for ReCSN2 after structural relaxation.

The total energy is -6.28 eV per atom. The calculation puts the magnetization at 0.60 Bohr magnetons per cell. The volume comes out at 46.9 Å³/cell. Its density of states at the Fermi level is 2.99 states/eV/f.u. The mass density comes out at 9.146 Mg/m³. Its uncorrected formation energy is 2.211 eV/atom. The distance to the lowest polymorph of the same formula is 510 meV/atom.

The structure belongs to space group P4/mmm (No. 123); the cell edges are 3.566, 3.566 and 3.688 Å and the angles 90.00°, 90.00° and 90.00°. Symmetry generates all atoms from Re at (0.000, 0.000, 0.000), C at (0.500, 0.500, 0.500), S at (0.500, 0.500, 0.000) and N at (0.000, 0.500, 0.500).

Density functional theory data (PBE-GGA) for BeAl3Ru after structural relaxation.

The total energy is -4.30 eV per atom. The calculation puts the magnetization at 0.00 Bohr magnetons per cell. The volume comes out at 73.5 Å³/cell. Its density of states at the Fermi level is 4.84 states/eV/f.u. The mass density comes out at 4.313 Mg/m³. The calculation puts the formation energy at 0.546 eV per atom. The distance to the lowest polymorph of the same formula is 112 meV/atom.

The structure belongs to space group Pm-3m (No. 221); the cell edges are 4.190, 4.190 and 4.190 Å and the angles 90.00°, 90.00° and 90.00°. Symmetry generates all atoms from Be at (0.000, 0.000, 0.000), Al at (0.000, 0.000, 0.500) and Ru at (0.500, 0.500, 0.500).